[1]
# K2SnHgSe4 | the Alexandria database | PBE | relaxed
data_K2SnHgSe4
_cell_length_a 8.214
_cell_length_b 8.214
_cell_length_c 7.136
_cell_angle_alpha 90.00
_cell_angle_beta 90.00
_cell_angle_gamma 90.00
_space_group_name_H-M_alt 'P 1'
_space_group_IT_number 1
_space_group_name_Hall 'P 1'
loop_
_atom_site_label
_atom_site_type_symbol
_atom_site_fract_x
_atom_site_fract_y
_atom_site_fract_z
_atom_site_occupancy
K1 K 0.000 0.500 0.000 1
K2 K 0.000 0.500 0.500 1
K3 K 0.500 0.000 0.000 1
K4 K 0.500 0.000 0.500 1
Sn1 Sn 0.000 0.000 0.000 1
Sn2 Sn 0.500 0.500 0.500 1
Hg1 Hg 0.000 0.000 0.500 1
Hg2 Hg 0.500 0.500 0.000 1
Se1 Se 0.171 0.171 0.231 1
Se2 Se 0.171 0.829 0.769 1
Se3 Se 0.329 0.329 0.731 1
Se4 Se 0.329 0.671 0.269 1
Se5 Se 0.671 0.329 0.269 1
Se6 Se 0.671 0.671 0.731 1
Se7 Se 0.829 0.171 0.769 1
Se8 Se 0.829 0.829 0.231 1
# SG: I-42m
# formation energy (no corrections): -562 kJ/mol of formula units
# size of the total moment: 0.000 μB/atom
# raw total energy: -26.26 eV per formula unit

***

[2]
# Li2InRh | the Alexandria database | PBE | relaxed
data_Li2InRh
_cell_length_a 3.013
_cell_length_b 4.608
_cell_length_c 4.680
_cell_angle_alpha 90.00
_cell_angle_beta 93.88
_cell_angle_gamma 90.00
_space_group_name_H-M_alt 'P 1'
_space_group_IT_number 1
_space_group_name_Hall 'P 1'
loop_
_atom_site_label
_atom_site_type_symbol
_atom_site_fract_x
_atom_site_fract_y
_atom_site_fract_z
_atom_site_occupancy
Li1 Li 0.237 0.000 0.281 1
Li2 Li 0.763 0.000 0.719 1
In1 In 0.500 0.500 0.000 1
Rh1 Rh 0.000 0.500 0.500 1
# SG: P2/m
# ΔE_f: -0.276 eV per atom
# size of the total moment: 0.000 μB/atom
# raw total energy: -15.02 eV per formula unit

***

[3]
# La2AgIr | the Alexandria database | PBE | relaxed
data_La2AgIr
_cell_length_a 7.093
_cell_length_b 7.093
_cell_length_c 7.093
_cell_angle_alpha 90.00
_cell_angle_beta 90.00
_cell_angle_gamma 90.00
_space_group_name_H-M_alt 'P 1'
_space_group_IT_number 1
_space_group_name_Hall 'P 1'
loop_
_atom_site_label
_atom_site_type_symbol
_atom_site_fract_x
_atom_site_fract_y
_atom_site_fract_z
_atom_site_occupancy
La1 La 0.000 0.000 0.000 1
La2 La 0.000 0.500 0.500 1
La3 La 0.250 0.250 0.250 1
La4 La 0.250 0.750 0.750 1
La5 La 0.500 0.000 0.500 1
La6 La 0.500 0.500 0.000 1
La7 La 0.750 0.250 0.750 1
La8 La 0.750 0.750 0.250 1
Ag1 Ag 0.000 0.000 0.500 1
Ag2 Ag 0.000 0.500 0.000 1
Ag3 Ag 0.500 0.000 0.000 1
Ag4 Ag 0.500 0.500 0.500 1
Ir1 Ir 0.250 0.250 0.750 1
Ir2 Ir 0.250 0.750 0.250 1
Ir3 Ir 0.750 0.250 0.250 1
Ir4 Ir 0.750 0.750 0.750 1
# SG: F-43m
# polymorph energy (0 for the lowest one): 24.8 kJ/mol of atoms
# ΔE_f: -0.268 eV per atom
# size of the total moment: 0.000 μB/atom
# raw total energy: -22.64 eV per formula unit

***

[4]
# ZrReRh2 | the Alexandria database | PBE | relaxed
data_ZrReRh2
_cell_length_a 2.825
_cell_length_b 2.825
_cell_length_c 28.045
_cell_angle_alpha 90.00
_cell_angle_beta 90.00
_cell_angle_gamma 120.00
_space_group_name_H-M_alt 'P 1'
_space_group_IT_number 1
_space_group_name_Hall 'P 1'
loop_
_atom_site_label
_atom_site_type_symbol
_atom_site_fract_x
_atom_site_fract_y
_atom_site_fract_z
_atom_site_occupancy
Zr1 Zr 0.000 0.000 0.000 1
Zr2 Zr 0.333 0.667 0.667 1
Zr3 Zr 0.667 0.333 0.333 1
Re1 Re 0.000 0.000 0.760 1
Re2 Re 0.333 0.667 0.427 1
Re3 Re 0.667 0.333 0.093 1
Rh1 Rh 0.000 0.000 0.249 1
Rh2 Rh 0.000 0.000 0.500 1
Rh3 Rh 0.333 0.667 0.167 1
Rh4 Rh 0.333 0.667 0.916 1
Rh5 Rh 0.667 0.333 0.583 1
Rh6 Rh 0.667 0.333 0.834 1
# SG: R3m
# polymorph energy (0 for the lowest one): 35.7 kJ/mol of atoms
# ΔE_f: 0.029 eV per atom
# size of the total moment: 0.068 μB/atom
# raw total energy: -35.58 eV per formula unit

***

[5]
# Nd4PS2 | the Alexandria database | PBE | relaxed
data_Nd4PS2
_cell_length_a 4.060
_cell_length_b 6.939
_cell_length_c 7.867
_cell_angle_alpha 115.75
_cell_angle_beta 104.89
_cell_angle_gamma 90.01
_space_group_name_H-M_alt 'P 1'
_space_group_IT_number 1
_space_group_name_Hall 'P 1'
loop_
_atom_site_label
_atom_site_type_symbol
_atom_site_fract_x
_atom_site_fract_y
_atom_site_fract_z
_atom_site_occupancy
Nd1 Nd 0.125 0.467 0.251 1
Nd2 Nd 0.374 0.045 0.749 1
Nd3 Nd 0.626 0.955 0.251 1
Nd4 Nd 0.875 0.533 0.749 1
P1 P 0.500 0.500 0.000 1
S1 S 0.243 0.240 0.485 1
S2 S 0.757 0.760 0.515 1
# SG: P-1
# formation energy (no corrections): -1038 kJ/mol of formula units
# size of the total moment: 0.000 μB/atom
# raw total energy: -43.49 eV per formula unit

***

[6]
# TaZnSn3 | the Alexandria database | PBE | relaxed
data_TaZnSn3
_cell_length_a 5.400
_cell_length_b 5.400
_cell_length_c 5.400
_cell_angle_alpha 90.00
_cell_angle_beta 90.00
_cell_angle_gamma 90.00
_space_group_name_H-M_alt 'P 1'
_space_group_IT_number 1
_space_group_name_Hall 'P 1'
loop_
_atom_site_label
_atom_site_type_symbol
_atom_site_fract_x
_atom_site_fract_y
_atom_site_fract_z
_atom_site_occupancy
Ta1 Ta 0.000 0.000 0.000 1
Zn1 Zn 0.500 0.500 0.500 1
Sn1 Sn 0.000 0.000 0.500 1
Sn2 Sn 0.000 0.500 0.000 1
Sn3 Sn 0.500 0.000 0.000 1
# SG: Pm-3m
# polymorph energy (0 for the lowest one): 0.0 kJ/mol of atoms
# ΔE_f: 0.442 eV per atom
# size of the total moment: 0.000 μB/atom
# raw total energy: -22.92 eV per formula unit

***

[7]
# ZrZnBi2O | the Alexandria database | PBE | relaxed
data_ZrZnBi2O
_cell_length_a 5.806
_cell_length_b 5.806
_cell_length_c 3.482
_cell_angle_alpha 90.00
_cell_angle_beta 90.00
_cell_angle_gamma 90.00
_space_group_name_H-M_alt 'P 1'
_space_group_IT_number 1
_space_group_name_Hall 'P 1'
loop_
_atom_site_label
_atom_site_type_symbol
_atom_site_fract_x
_atom_site_fract_y
_atom_site_fract_z
_atom_site_occupancy
Zr1 Zr 0.000 0.000 0.000 1
Zn1 Zn 0.500 0.500 0.500 1
Bi1 Bi 0.000 0.500 0.500 1
Bi2 Bi 0.500 0.000 0.500 1
O1 O 0.500 0.500 0.000 1
# SG: P4/mmm
# formation energy (no corrections): -16 kJ/mol of formula units
# size of the total moment: 0.000 μB/atom
# raw total energy: -22.71 eV per formula unit

***

[8]
# Tl3MoAs | the Alexandria database | PBE | relaxed
data_Tl3MoAs
_cell_length_a 5.443
_cell_length_b 5.443
_cell_length_c 5.443
_cell_angle_alpha 90.00
_cell_angle_beta 90.00
_cell_angle_gamma 90.00
_space_group_name_H-M_alt 'P 1'
_space_group_IT_number 1
_space_group_name_Hall 'P 1'
loop_
_atom_site_label
_atom_site_type_symbol
_atom_site_fract_x
_atom_site_fract_y
_atom_site_fract_z
_atom_site_occupancy
Tl1 Tl 0.000 0.000 0.500 1
Tl2 Tl 0.000 0.500 0.000 1
Tl3 Tl 0.500 0.000 0.000 1
Mo1 Mo 0.000 0.000 0.000 1
As1 As 0.500 0.500 0.500 1
# SG: Pm-3m
# polymorph energy (0 for the lowest one): 0.0 kJ/mol of atoms
# ΔE_f: 0.925 eV per atom
# size of the total moment: 0.713 μB/atom
# raw total energy: -17.95 eV per formula unit

***

[9]
# Pr2SmCd | the Alexandria database | PBE | relaxed
data_Pr2SmCd
_cell_length_a 3.696
_cell_length_b 3.696
_cell_length_c 33.545
_cell_angle_alpha 90.00
_cell_angle_beta 90.00
_cell_angle_gamma 120.00
_space_group_name_H-M_alt 'P 1'
_space_group_IT_number 1
_space_group_name_Hall 'P 1'
loop_
_atom_site_label
_atom_site_type_symbol
_atom_site_fract_x
_atom_site_fract_y
_atom_site_fract_z
_atom_site_occupancy
Pr1 Pr 0.000 0.000 0.000 1
Pr2 Pr 0.000 0.000 0.178 1
Pr3 Pr 0.333 0.667 0.667 1
Pr4 Pr 0.333 0.667 0.845 1
Pr5 Pr 0.667 0.333 0.333 1
Pr6 Pr 0.667 0.333 0.512 1
Sm1 Sm 0.000 0.000 0.756 1
Sm2 Sm 0.333 0.667 0.423 1
Sm3 Sm 0.667 0.333 0.089 1
Cd1 Cd 0.000 0.000 0.589 1
Cd2 Cd 0.333 0.667 0.256 1
Cd3 Cd 0.667 0.333 0.922 1
# SG: R3m
# polymorph energy (0 for the lowest one): 9.1 kJ/mol of atoms
# ΔE_f: -0.051 eV per atom
# size of the total moment: 0.000 μB/atom
# raw total energy: -15.40 eV per formula unit

***

[10]
# Al2TcW | the Alexandria database | PBE | relaxed
data_Al2TcW
_cell_length_a 5.414
_cell_length_b 8.483
_cell_length_c 2.749
_cell_angle_alpha 90.00
_cell_angle_beta 108.27
_cell_angle_gamma 90.00
_space_group_name_H-M_alt 'P 1'
_space_group_IT_number 1
_space_group_name_Hall 'P 1'
loop_
_atom_site_label
_atom_site_type_symbol
_atom_site_fract_x
_atom_site_fract_y
_atom_site_fract_z
_atom_site_occupancy
Al1 Al 0.250 0.250 0.000 1
Al2 Al 0.250 0.750 0.000 1
Al3 Al 0.750 0.250 0.000 1
Al4 Al 0.750 0.750 0.000 1
Tc1 Tc 0.000 0.000 0.500 1
Tc2 Tc 0.500 0.500 0.500 1
W1 W 0.000 0.500 0.500 1
W2 W 0.500 0.000 0.500 1
# SG: C2/m
# polymorph energy (0 for the lowest one): 21.1 kJ/mol of atoms
# ΔE_f: -0.092 eV per atom
# size of the total moment: 0.000 μB/atom
# raw total energy: -31.17 eV per formula unit

***

[11]
# BaNaNd | the Alexandria database | PBE | relaxed
data_BaNaNd
_cell_length_a 3.854
_cell_length_b 3.854
_cell_length_c 17.449
_cell_angle_alpha 90.00
_cell_angle_beta 90.00
_cell_angle_gamma 90.00
_space_group_name_H-M_alt 'P 1'
_space_group_IT_number 1
_space_group_name_Hall 'P 1'
loop_
_atom_site_label
_atom_site_type_symbol
_atom_site_fract_x
_atom_site_fract_y
_atom_site_fract_z
_atom_site_occupancy
Ba1 Ba 0.000 0.000 0.000 1
Ba2 Ba 0.500 0.500 0.500 1
Na1 Na 0.000 0.000 0.323 1
Na2 Na 0.500 0.500 0.823 1
Nd1 Nd 0.000 0.000 0.672 1
Nd2 Nd 0.500 0.500 0.172 1
# SG: I4mm
# polymorph energy (0 for the lowest one): 13.0 kJ/mol of atoms
# ΔE_f: 0.216 eV per atom
# size of the total moment: 0.000 μB/atom
# raw total energy: -7.36 eV per formula unit

***

[12]
# Rb3Hg4Au2 | the Alexandria database | PBE | relaxed
data_Rb3Hg4Au2
_cell_length_a 6.852
_cell_length_b 6.852
_cell_length_c 10.436
_cell_angle_alpha 108.00
_cell_angle_beta 108.00
_cell_angle_gamma 43.04
_space_group_name_H-M_alt 'P 1'
_space_group_IT_number 1
_space_group_name_Hall 'P 1'
loop_
_atom_site_label
_atom_site_type_symbol
_atom_site_fract_x
_atom_site_fract_y
_atom_site_fract_z
_atom_site_occupancy
Rb1 Rb 0.000 0.000 0.000 1
Rb2 Rb 0.321 0.321 0.367 1
Rb3 Rb 0.679 0.679 0.633 1
Hg1 Hg 0.020 0.020 0.352 1
Hg2 Hg 0.254 0.254 0.905 1
Hg3 Hg 0.746 0.746 0.095 1
Hg4 Hg 0.980 0.980 0.648 1
Au1 Au 0.399 0.399 0.733 1
Au2 Au 0.601 0.601 0.267 1
# SG: C2/m
# polymorph energy (0 for the lowest one): 0.0 kJ/mol of atoms
# ΔE_f: -0.265 eV per atom
# size of the total moment: 0.000 μB/atom
# raw total energy: -13.05 eV per formula unit

***

no.,volume (A^3/atom)
1,30.089
2,16.207
3,22.301
4,16.152
5,27.333
6,31.486
7,23.478
8,32.256
9,33.070
10,14.988
11,43.203
12,35.054